[1]
Compound: La6FeRu2Br3
Source: Alexandria via LeMat-Bulk
Functional: PBE
Structure: optimized geometry

## Properties
- Spin magnetization: 0.0 μB/cell
- E_form (uncorrected): -794.0 meV per atom

Structure (CIF):
```
data_La6FeRu2Br3
_chemical_formula_sum 'La12 Fe2 Ru4 Br6'
_cell_length_a 7.1642
_cell_length_b 12.4106
_cell_length_c 8.2384
_cell_angle_alpha 90.00
_cell_angle_beta 106.81
_cell_angle_gamma 90.00
_space_group_name_H-M_alt 'C 1 2/m 1'
_space_group_IT_number 12
_space_group_name_Hall '-C 2y'
loop_
_atom_site_label
_atom_site_type_symbol
_atom_site_fract_x
_atom_site_fract_y
_atom_site_fract_z
La1 La 0.2273 0.1628 0.1938
La2 La 0.2392 0.5000 0.1934
Fe1 Fe 0.0000 0.0000 0.0000
Ru1 Ru 0.0000 0.3332 0.0000
Br1 Br 0.0000 0.1677 0.5000
Br2 Br 0.0000 0.5000 0.5000
```


[2]
Compound: Tm5CdHg2
Source: Alexandria via LeMat-Bulk
Functional: PBE
Structure: optimized geometry

## Properties
- ΔH_f (0 K): -165 meV per atom
- Spin magnetization: 0.0 μB/cell

Structure (CIF):
```
data_Tm5CdHg2
_chemical_formula_sum 'Tm20 Cd4 Hg8'
_cell_length_a 4.6988
_cell_length_b 10.7980
_cell_length_c 16.7874
_cell_angle_alpha 90.00
_cell_angle_beta 90.00
_cell_angle_gamma 90.00
_space_group_name_H-M_alt 'C m c m'
_space_group_IT_number 63
_space_group_name_Hall '-C 2c 2'
loop_
_atom_site_label
_atom_site_type_symbol
_atom_site_fract_x
_atom_site_fract_y
_atom_site_fract_z
Tm1 Tm 0.0000 0.0267 0.2500
Tm2 Tm 0.0000 0.1510 0.0366
Tm3 Tm 0.0000 0.4566 0.0986
Cd1 Cd 0.0000 0.3118 0.2500
Hg1 Hg 0.0000 0.2604 0.6449
```


[3]
Compound: NdSbPb2O6
Source: Alexandria via LeMat-Bulk
Functional: PBE
Structure: optimized geometry

## Properties
- Spin magnetization: 0.0 μB/cell
- E_form (uncorrected): -1814.1 meV per atom

Structure (CIF):
```
data_NdSbPb2O6
_chemical_formula_sum 'Nd2 Sb2 Pb4 O12'
_cell_length_a 5.9962
_cell_length_b 6.0391
_cell_length_c 10.4067
_cell_angle_alpha 90.00
_cell_angle_beta 125.03
_cell_angle_gamma 90.00
_space_group_name_H-M_alt 'P 1 21/c 1'
_space_group_IT_number 14
_space_group_name_Hall '-P 2ybc'
loop_
_atom_site_label
_atom_site_type_symbol
_atom_site_fract_x
_atom_site_fract_y
_atom_site_fract_z
Nd1 Nd 0.0000 0.0000 0.0000
Sb1 Sb 0.5000 0.0000 0.5000
Pb1 Pb 0.2494 0.0300 0.7542
O1 O 0.1836 0.1888 0.4550
O2 O 0.2800 0.7215 0.4593
O3 O 0.3558 0.0187 0.2700
```


[4]
Compound: YPuGe2
Source: Alexandria via LeMat-Bulk
Functional: PBE
Structure: optimized geometry

## Properties
- ΔH_f (0 K): -632 meV per atom
- Spin magnetization: 12.0 μB/cell

Structure (CIF):
```
data_YPuGe2
_chemical_formula_sum 'Y2 Pu2 Ge4'
_cell_length_a 3.9501
_cell_length_b 4.3650
_cell_length_c 10.8606
_cell_angle_alpha 90.00
_cell_angle_beta 90.00
_cell_angle_gamma 90.00
_space_group_name_H-M_alt 'A m m 2'
_space_group_IT_number 38
_space_group_name_Hall 'A 2 -2'
loop_
_atom_site_label
_atom_site_type_symbol
_atom_site_fract_x
_atom_site_fract_y
_atom_site_fract_z
Y1 Y 0.0000 0.0000 0.0000
Pu1 Pu 0.5000 0.0000 0.2794
Ge1 Ge 0.0000 0.0000 0.7195
Ge2 Ge 0.5000 0.0000 0.5562
```